(1)
Below is LaHoBr after structural relaxation, with properties calculated at the GGA-PBE level.

Lattice parameters (Å, degrees): 3.7629 3.7629 7.6343 90.00 90.00 120.00
Space group P3m1 (No. 156)
Unique sites:
La (0.0000, 0.0000, 0.0000) [1 per cell]
Ho (0.6667, 0.3333, 0.3680) [1 per cell]
Br (0.3333, 0.6667, 0.6576) [1 per cell]

Output
Its uncorrected energy is -4.4758 eV per atom.

---

(2)
Below is Y3HoSb2 after structural relaxation, with properties calculated at the GGA-PBE level.

Lattice parameters (Å, degrees): 4.478 4.478 8.463 90.00 90.00 90.00
Space group P-4m2 (No. 115)
Unique sites:
Y (0.000, 0.000, 0.000) [1 per cell]
Y (0.000, 0.500, 0.649) [2 per cell]
Ho (0.500, 0.500, 0.000) [1 per cell]
Sb (0.000, 0.500, 0.279) [2 per cell]

Output
As for the energy relative to the lowest polymorph listed for this composition: 0 meV/atom.

---

(3)
Below is Er6Ga17Pd5 after structural relaxation, with properties calculated at the GGA-PBE level.

Lattice parameters (Å, degrees): 15.716 4.270 15.632 90.00 104.41 90.00
Space group C2/m (No. 12)
Unique sites:
Er (0.091, 0.000, 0.406) [4 per cell]
Er (0.103, 0.500, 0.901) [4 per cell]
Er (0.246, 0.000, 0.251) [4 per cell]
Ga (0.000, 0.000, 0.000) [2 per cell]
Ga (0.038, 0.000, 0.179) [4 per cell]
Ga (0.047, 0.500, 0.674) [4 per cell]
Ga (0.101, 0.500, 0.263) [4 per cell]
Ga (0.109, 0.000, 0.766) [4 per cell]
Ga (0.175, 0.500, 0.543) [4 per cell]
Ga (0.178, 0.000, 0.040) [4 per cell]
Ga (0.231, 0.500, 0.397) [4 per cell]
Ga (0.242, 0.000, 0.894) [4 per cell]
Pd (0.000, 0.500, 0.500) [2 per cell]
Pd (0.089, 0.500, 0.092) [4 per cell]
Pd (0.106, 0.000, 0.603) [4 per cell]

Output
The value obtained for the formation energy is -0.668 eV per atom.

---

(4)
Below is K4ErSb3O12 after structural relaxation, with properties calculated at the GGA-PBE level.

Lattice parameters (Å, degrees): 8.263 8.263 8.263 90.00 90.00 90.00
Space group Im-3m (No. 229)
Unique sites:
K (0.250, 0.250, 0.250) [8 per cell]
Er (0.000, 0.000, 0.000) [2 per cell]
Sb (0.000, 0.000, 0.500) [6 per cell]
O (0.000, 0.000, 0.266) [12 per cell]
O (0.000, 0.250, 0.500) [12 per cell]

Output
Its uncorrected energy is -5.7267 eV per atom.